[1]
Material: TlGa
Method: DFT, GGA-PBE
State: optimized geometry

The calculated formation energy is 264 meV/atom. The volume is 126.3 Å³/cell. Its magnetization is 0.0 μB per formula unit. Its symmetry is P6_3/mmc. For the uncorrected energy, the calculation gives -9.73 eV for the cell shown. The value obtained for the density of states at the Fermi level is 0.8 states/eV/f.u.

Geometry as CIF:
```
data_TlGa
_chemical_formula_sum 'Tl2 Ga2'
_space_group_name_H-M_alt 'P 1'
_space_group_IT_number 1
_cell_length_a 4.931
_cell_length_b 4.931
_cell_length_c 5.998
_cell_angle_alpha 90.00
_cell_angle_beta 90.00
_cell_angle_gamma 120.00
loop_
_space_group_symop_operation_xyz
'x,y,z'
loop_
_atom_site_label
_atom_site_type_symbol
_atom_site_fract_x
_atom_site_fract_y
_atom_site_fract_z
Ga1 Ga 0.333 0.667 0.250
Tl1 Tl 0.667 0.333 0.250
Tl2 Tl 0.333 0.667 0.750
Ga2 Ga 0.667 0.333 0.750
```

[2]
Material: Co6NiPd12
Method: DFT, GGA-PBE
State: optimized geometry

The calculated formation energy is 83 meV/atom. The volume is 271.6 Å³/cell. Its magnetization is 16.5 μB per formula unit. Its symmetry is R-3. For the uncorrected energy, the calculation gives -109.16 eV for the cell shown. The value obtained for the density of states at the Fermi level is 23.5 states/eV/f.u.

Geometry as CIF:
```
data_Co6NiPd12
_chemical_formula_sum 'Co6 Ni1 Pd12'
_space_group_name_H-M_alt 'P 1'
_space_group_IT_number 1
_cell_length_a 6.478
_cell_length_b 6.478
_cell_length_c 6.478
_cell_angle_alpha 88.38
_cell_angle_beta 88.38
_cell_angle_gamma 88.38
loop_
_space_group_symop_operation_xyz
'x,y,z'
loop_
_atom_site_label
_atom_site_type_symbol
_atom_site_fract_x
_atom_site_fract_y
_atom_site_fract_z
Ni1 Ni 0.000 0.000 0.000
Pd1 Pd 0.631 0.976 0.846
Pd2 Pd 0.528 0.433 0.803
Co1 Co 0.743 0.896 0.265
Pd3 Pd 0.369 0.024 0.154
Pd4 Pd 0.976 0.846 0.631
Co2 Co 0.896 0.265 0.743
Co3 Co 0.257 0.104 0.735
Co4 Co 0.265 0.743 0.896
Pd5 Pd 0.197 0.472 0.567
Pd6 Pd 0.846 0.631 0.976
Pd7 Pd 0.433 0.803 0.528
Pd8 Pd 0.567 0.197 0.472
Co5 Co 0.104 0.735 0.257
Pd9 Pd 0.803 0.528 0.433
Co6 Co 0.735 0.257 0.104
Pd10 Pd 0.024 0.154 0.369
Pd11 Pd 0.154 0.369 0.024
Pd12 Pd 0.472 0.567 0.197
```

[3]
Material: Pm2OsRu
Method: DFT, GGA-PBE
State: optimized geometry

The calculated formation energy is 39 meV/atom. The volume is 85.0 Å³/cell. Its magnetization is 0.0 μB per formula unit. The energy above the most stable polymorph in this dataset is 0 meV/atom. Its symmetry is Fm-3m. For the uncorrected energy, the calculation gives -29.85 eV for the cell shown. The value obtained for the density of states at the Fermi level is 2.7 states/eV/f.u.

Geometry as CIF:
```
data_Pm2OsRu
_chemical_formula_sum 'Pm2 Os1 Ru1'
_space_group_name_H-M_alt 'P 1'
_space_group_IT_number 1
_cell_length_a 4.936
_cell_length_b 4.936
_cell_length_c 4.936
_cell_angle_alpha 60.00
_cell_angle_beta 60.00
_cell_angle_gamma 60.00
loop_
_space_group_symop_operation_xyz
'x,y,z'
loop_
_atom_site_label
_atom_site_type_symbol
_atom_site_fract_x
_atom_site_fract_y
_atom_site_fract_z
Ru1 Ru 0.000 0.000 0.000
Pm1 Pm 0.750 0.750 0.750
Os1 Os 0.500 0.500 0.500
Pm2 Pm 0.250 0.250 0.250
```

[4]
Material: Ca2LaTlTe4
Method: DFT, GGA-PBE
State: optimized geometry

The volume is 280.6 Å³/cell. Its magnetization is 0.0 μB per formula unit. The value obtained for the uncorrected formation energy is -1355 meV per atom. Its symmetry is P2/m. For the uncorrected energy, the calculation gives -34.70 eV for the cell shown.

Geometry as CIF:
```
data_Ca2LaTlTe4
_chemical_formula_sum 'Ca2 La1 Tl1 Te4'
_space_group_name_H-M_alt 'P 1'
_space_group_IT_number 1
_cell_length_a 4.624
_cell_length_b 7.919
_cell_length_c 8.090
_cell_angle_alpha 71.34
_cell_angle_beta 90.00
_cell_angle_gamma 90.00
loop_
_space_group_symop_operation_xyz
'x,y,z'
loop_
_atom_site_label
_atom_site_type_symbol
_atom_site_fract_x
_atom_site_fract_y
_atom_site_fract_z
Te1 Te 0.500 0.244 0.744
Te2 Te 0.000 0.764 0.732
Te3 Te 0.500 0.756 0.256
La1 La 0.000 0.500 0.500
Tl1 Tl 0.500 0.500 0.000
Ca1 Ca 0.000 0.000 0.000
Ca2 Ca 0.500 0.000 0.500
Te4 Te 0.000 0.236 0.268
```

Please write out number 1 again, unchanged.
Material: TlGa
Method: DFT, GGA-PBE
State: optimized geometry

The calculated formation energy is 264 meV/atom. The volume is 126.3 Å³/cell. Its magnetization is 0.0 μB per formula unit. Its symmetry is P6_3/mmc. For the uncorrected energy, the calculation gives -9.73 eV for the cell shown. The value obtained for the density of states at the Fermi level is 0.8 states/eV/f.u.

Geometry as CIF:
```
data_TlGa
_chemical_formula_sum 'Tl2 Ga2'
_space_group_name_H-M_alt 'P 1'
_space_group_IT_number 1
_cell_length_a 4.931
_cell_length_b 4.931
_cell_length_c 5.998
_cell_angle_alpha 90.00
_cell_angle_beta 90.00
_cell_angle_gamma 120.00
loop_
_space_group_symop_operation_xyz
'x,y,z'
loop_
_atom_site_label
_atom_site_type_symbol
_atom_site_fract_x
_atom_site_fract_y
_atom_site_fract_z
Ga1 Ga 0.333 0.667 0.250
Tl1 Tl 0.667 0.333 0.250
Tl2 Tl 0.333 0.667 0.750
Ga2 Ga 0.667 0.333 0.750
```